# GGA+U NiBiI2O, optimized geometry
data_NiBiI2O
_chemical_formula_sum 'Ni1 Bi1 I2 O1'
_cell_length_a 6.2294
_cell_length_b 6.2294
_cell_length_c 4.3019
_cell_angle_alpha 90.00
_cell_angle_beta 90.00
_cell_angle_gamma 90.00
_symmetry_space_group_name_H-M 'P 4/m m m'
_symmetry_Int_Tables_number 123
_symmetry_space_group_name_Hall '-P 4 2'
loop_
_atom_site_label
_atom_site_fract_x
_atom_site_fract_y
_atom_site_fract_z
Ni1 0.0000 0.0000 0.0000
Bi1 0.5000 0.5000 0.5000
I1 0.0000 0.5000 0.5000
O1 0.5000 0.5000 0.0000
# * polymorph energy (0 for the lowest one): 0.0961 eV per atom
# * V: 166.94 Å³ per cell